Record 1
A plane-wave DFT calculation with PBE was carried out for a relaxed structure of Sr3IrO.

Summary:
**Symmetry**: Pm-3m, No. 221
**Energy relative to the elements, uncorrected**: -1018.8 meV per atom
**Crystal system**: cubic
**M_tot**: 0.00 μB per formula unit
**E**: -4.79 eV per atom

Unit cell a=4.9818 b=4.9818 c=4.9818 alpha=90.00 beta=90.00 gamma=90.00
Closest atoms and distances in Å follow each position.
Fractional coordinates of all 5 atoms:
Sr (0.0000, 0.0000, 0.5000)  2 O 2.49
Sr (0.0000, 0.5000, 0.0000)  2 O 2.49
Sr (0.5000, 0.0000, 0.0000)  2 O 2.49
Ir (0.5000, 0.5000, 0.5000)  12 Sr 3.52
O (0.0000, 0.0000, 0.0000)  6 Sr 2.49

=====

Record 2
A plane-wave DFT calculation with PBE was carried out for a relaxed structure of ZnRe2Ru.

Summary:
**Symmetry**: Cm, No. 8
**Crystal system**: monoclinic
**M_tot**: 0.00 μB per formula unit
**E**: -8.68 eV per atom
**ΔH_f (0 K)**: 0.18 eV per atom

Unit cell a=4.7581 b=4.7581 c=4.7578 alpha=98.94 beta=98.94 gamma=33.24
Closest atoms and distances in Å follow each position.
Fractional coordinates of all 4 atoms:
Zn (0.0000, 0.0000, 0.0000)  3 Ru 2.63-2.77, 2 Zn 2.72, 7 Re 2.73-2.85
Re (0.5091, 0.5091, 0.5020)  3 Ru 2.67-2.91, 5 Re 2.68-2.73, 4 Zn 2.74-2.75
Re (0.7584, 0.7584, 0.2726)  5 Re 2.68-2.73, 3 Zn 2.73-2.85, 4 Ru 2.74-2.75
Ru (0.2435, 0.2435, 0.7690)  3 Zn 2.63-2.77, 7 Re 2.67-2.91, 2 Ru 2.72

=====

Record 3
A plane-wave DFT calculation with PBE was carried out for a relaxed structure of LiPaSe2O8.

Summary:
**Symmetry**: I-4m2, No. 119
**Energy relative to the elements, uncorrected**: -1557.9 meV per atom
**Crystal system**: tetragonal
**M_tot**: 0.00 μB per formula unit
**E**: -6.39 eV per atom

Unit cell a=6.0276 b=6.0276 c=6.0276 alpha=107.41 beta=107.41 gamma=113.68
Closest atoms and distances in Å follow each position.
Fractional coordinates of all 12 atoms:
Li (0.0000, 0.0000, 0.0000)  8 O 2.35-2.52
Pa (0.7500, 0.2500, 0.5000)  4 O 2.15
Se (0.2500, 0.7500, 0.5000)  4 O 1.68
Se (0.5000, 0.5000, 0.0000)  4 O 1.91
O (0.0857, 0.4055, 0.3198)  1 Se 1.68
O (0.0857, 0.7658, 0.6802)  1 Se 1.68
O (0.1089, 0.3127, 0.7963)  1 Se 1.91
O (0.2342, 0.9143, 0.3198)  1 Se 1.68
O (0.5164, 0.3127, 0.2037)  1 Se 1.91
O (0.5945, 0.9143, 0.6802)  1 Se 1.68
O (0.6873, 0.4836, 0.7963)  1 Se 1.91
O (0.6873, 0.8911, 0.2037)  1 Se 1.91

=====

Record 4
A plane-wave DFT calculation with PBE was carried out for a relaxed structure of La2GaIrN.

Summary:
**Symmetry**: P4/mmm, No. 123
**Energy relative to the elements, uncorrected**: -722.4 meV per atom
**Crystal system**: tetragonal
**M_tot**: 0.00 μB per formula unit
**E**: -6.74 eV per atom

Unit cell a=5.2989 b=5.2989 c=3.8746 alpha=90.00 beta=90.00 gamma=90.00
Closest atoms and distances in Å follow each position.
Fractional coordinates of all 5 atoms:
La (0.0000, 0.5000, 0.0000)  2 N 2.65
La (0.5000, 0.0000, 0.0000)  2 N 2.65
Ga (0.0000, 0.0000, 0.5000)  8 La 3.28
Ir (0.5000, 0.5000, 0.5000)  2 N 1.94
N (0.5000, 0.5000, 0.0000)  2 Ir 1.94

=====

Record 5
A plane-wave DFT calculation with PBE was carried out for a relaxed structure of Be3Ru.

Summary:
**Symmetry**: P2/m, No. 10
**Crystal system**: monoclinic
**M_tot**: 0.00 μB per formula unit
**E**: -5.18 eV per atom
**ΔH_f (0 K)**: -0.07 eV per atom

Unit cell a=2.5362 b=3.6218 c=4.4455 alpha=90.00 beta=102.43 gamma=90.00
Closest atoms and distances in Å follow each position.
Fractional coordinates of all 4 atoms:
Be (0.0000, 0.0000, 0.0000)  4 Be 2.19, 2 Ru 2.31
Be (0.1487, 0.5000, 0.7542)  3 Be 2.19-2.22, 2 Ru 2.40
Be (0.8513, 0.5000, 0.2458)  3 Be 2.19-2.22, 2 Ru 2.40
Ru (0.5000, 0.0000, 0.5000)  10 Be 2.31-2.54, 2 Ru 2.54

=====

Record 6
A plane-wave DFT calculation with PBE was carried out for a relaxed structure of NdSm3C8.

Summary:
**Symmetry**: Fmm2, No. 42
**Crystal system**: orthorhombic
**M_tot**: 0.00 μB per formula unit
**E**: -7.57 eV per atom
**ΔH_f (0 K)**: 0.15 eV per atom

Unit cell a=6.3963 b=6.3908 c=7.1187 alpha=56.21 beta=56.13 gamma=67.66
Closest atoms and distances in Å follow each position.
Fractional coordinates of all 12 atoms:
Nd (0.0000, 0.0000, 0.0000)  4 C 2.53-2.54
Sm (0.2499, 0.2499, 0.2501)  8 C 2.65-2.67
Sm (0.5004, 0.5004, 0.4996)  8 C 2.60-2.64
Sm (0.7499, 0.7499, 0.7501)  8 C 2.65-2.67
C (0.0764, 0.4094, 0.9236)  1 C 1.29
C (0.1283, 0.5958, 0.4042)  1 C 1.29
C (0.4048, 0.8729, 0.5952)  1 C 1.29
C (0.4094, 0.0764, 0.5906)  1 C 1.29
C (0.5924, 0.9252, 0.0748)  1 C 1.29
C (0.5958, 0.1283, 0.8717)  1 C 1.29
C (0.8729, 0.4048, 0.1271)  1 C 1.29
C (0.9252, 0.5924, 0.4076)  1 C 1.29